P.
# CaV3Sn

A relaxed structure of CaV3Sn (GGA-PBE, Alexandria via LeMat-Bulk).

Cell and atoms, written as extended XYZ:
```
5
Lattice="5.185 0.000 0.000 0.000 5.185 0.000 0.000 0.000 5.185" Properties=species:S:1:pos:R:3 pbc="T T T"
Ca 2.592 2.592 2.592
Sn 0.000 0.000 0.000
V 0.000 2.592 0.000
V 0.000 0.000 2.592
V 2.592 0.000 0.000
```

Properties
Its space group is Pm-3m (221). As for the density of states at the Fermi level: 0.6787 states/eV per atom. Its total magnetic moment is 2.16 μB/atom.

=====

Q.
# CaV3Sn

A relaxed structure of CaV3Sn (GGA-PBE, Alexandria via LeMat-Bulk).

Cell and atoms, written as extended XYZ:
```
5
Lattice="-4.502 -0.112 0.151 -0.087 -1.977 -4.048 0.167 -4.048 1.973" Properties=species:S:1:pos:R:3 pbc="T T T"
Ca 0.000 0.000 0.000
Sn -2.211 -3.068 -0.962
V -0.043 -0.988 -2.024
V 0.084 -2.024 0.986
V -2.251 -0.056 0.076
```

Properties
Its space group is Pm-3m (221). As for the density of states at the Fermi level: 1.1546 states/eV per atom. Its total magnetic moment is 0.00 μB/atom.

=====

Most stable = P